(1)
The following is a DFT calculation (meta-GGA SCAN) of a crystal of TaCoPt2 relaxed with PBEsol.

- magnetization (μB/f.u.) = 1.76
- E (eV/atom) = -56.757
- energy above the most stable polymorph in this dataset (meV per atom) = 0
- crystal system = tetragonal

a b c (Å): 3.811 3.811 4.757
angles (deg): 113.61 113.61 90.00
Each line ends with the local moment (μB).
Element x y z (fractional)
Ta (0.500, 0.500, 0.000)  -0.08
Co (0.000, 0.000, 0.000)  1.75
Pt (0.250, 0.750, 0.500)  0.07
Pt (0.750, 0.250, 0.500)  0.07

***

(2)
The following is a DFT calculation (meta-GGA SCAN) of a crystal of Zr2FeW relaxed with PBEsol.

- magnetization (μB/f.u.) = 0.52
- E (eV/atom) = -37.187
- energy above the most stable polymorph in this dataset (meV per atom) = 0
- crystal system = orthorhombic

a b c (Å): 3.206 4.504 5.424
angles (deg): 114.53 107.19 90.00
Each line ends with the local moment (μB).
Element x y z (fractional)
Zr (0.763, 0.263, 0.526)  -0.13
Zr (0.995, 0.995, 0.989)  -0.27
Fe (0.512, 0.512, 0.023)  1.37
W (0.230, 0.730, 0.461)  -0.17

***

(3)
The following is a DFT calculation (meta-GGA SCAN) of a crystal of CrPbAu2 relaxed with PBEsol.

- magnetization (μB/f.u.) = 3.97
- E (eV/atom) = -58.165
- crystal system = tetragonal

a b c (Å): 3.280 3.280 7.124
angles (deg): 90.00 90.00 90.00
Each line ends with the local moment (μB).
Element x y z (fractional)
Pb (0.500, 0.500, 0.500)  -0.02
Cr (0.500, 0.500, 0.000)  3.67
Au (0.000, 0.000, 0.206)  0.04
Au (0.000, 0.000, 0.794)  0.04

***

(4)
The following is a DFT calculation (meta-GGA SCAN) of a crystal of Ba2HgBr relaxed with PBEsol.

- formation energy without anion corrections (meV/atom) = -1223
- magnetization (μB/f.u.) = 0.02
- E (eV/atom) = -42.904
- crystal system = tetragonal

a b c (Å): 4.745 4.745 6.842
angles (deg): 90.00 90.00 90.00
Element x y z (fractional)
Hg (0.500, 0.500, 0.500)
Br (0.000, 0.000, 0.000)
Ba (0.500, 0.500, 0.000)
Ba (0.000, 0.000, 0.500)

***

(5)
The following is a DFT calculation (meta-GGA SCAN) of a crystal of In2IN relaxed with PBEsol.

- formation energy without anion corrections (meV/atom) = 1169
- magnetization (μB/f.u.) = 0.00
- E (eV/atom) = -27.032
- crystal system = cubic

a b c (Å): 5.007 5.007 5.007
angles (deg): 60.00 60.00 60.00
Element x y z (fractional)
In (0.750, 0.750, 0.750)
In (0.250, 0.250, 0.250)
I (0.500, 0.500, 0.500)
N (0.000, 0.000, 0.000)

***

(6)
The following is a DFT calculation (meta-GGA SCAN) of a crystal of LaY2Cl relaxed with PBEsol.

- formation energy without anion corrections (meV/atom) = -108
- magnetization (μB/f.u.) = 2.56
- E (eV/atom) = -26.800
- energy above the most stable polymorph in this dataset (meV per atom) = 138
- crystal system = tetragonal

a b c (Å): 4.683 4.683 6.174
angles (deg): 112.29 112.29 90.00
Each line ends with the local moment (μB).
Element x y z (fractional)
Y (0.750, 0.250, 0.500)  0.43
Y (0.000, 0.000, 0.000)  0.72
Cl (0.500, 0.500, 0.000)  0.04
La (0.250, 0.750, 0.500)  0.33

***

(7)
The following is a DFT calculation (meta-GGA SCAN) of a crystal of TmZn5 relaxed with PBEsol.

- magnetization (μB/f.u.) = 0.00
- E (eV/atom) = -20.236
- crystal system = hexagonal

a b c (Å): 8.669 8.669 8.847
angles (deg): 90.00 90.00 120.00
Element x y z (fractional)
Zn (0.500, 0.500, 0.000)
Zn (0.500, 0.000, 0.000)
Zn (0.432, 0.568, 0.750)
Zn (0.865, 0.432, 0.250)
Zn (0.679, 0.839, 0.592)
Zn (0.000, 0.500, 0.000)
Zn (0.839, 0.679, 0.408)
Zn (0.568, 0.135, 0.250)
Zn (0.000, 0.500, 0.500)
Zn (0.000, 0.000, 0.000)
Zn (0.321, 0.161, 0.408)
Zn (0.321, 0.161, 0.092)
Zn (0.135, 0.568, 0.750)
Zn (0.333, 0.667, 0.018)
Zn (0.839, 0.679, 0.092)
Zn (0.000, 0.000, 0.500)
Zn (0.500, 0.500, 0.500)
Zn (0.161, 0.839, 0.908)
Zn (0.432, 0.865, 0.750)
Zn (0.679, 0.839, 0.908)
Zn (0.839, 0.161, 0.408)
Zn (0.839, 0.161, 0.092)
Zn (0.161, 0.321, 0.908)
Zn (0.333, 0.667, 0.482)
Zn (0.667, 0.333, 0.982)
Zn (0.568, 0.432, 0.250)
Zn (0.500, 0.000, 0.500)
Zn (0.161, 0.839, 0.592)
Zn (0.161, 0.321, 0.592)
Zn (0.667, 0.333, 0.518)
Tm (0.811, 0.622, 0.750)
Tm (0.189, 0.378, 0.250)
Tm (0.378, 0.189, 0.750)
Tm (0.189, 0.811, 0.250)
Tm (0.622, 0.811, 0.250)
Tm (0.811, 0.189, 0.750)

***

(8)
The following is a DFT calculation (meta-GGA SCAN) of a crystal of KTa3F relaxed with PBEsol.

- formation energy without anion corrections (meV/atom) = 1113
- magnetization (μB/f.u.) = 0.00
- E (eV/atom) = -41.211
- crystal system = cubic

a b c (Å): 4.483 4.483 4.483
angles (deg): 90.00 90.00 90.00
Element x y z (fractional)
Ta (0.000, 0.500, 0.000)
Ta (0.000, 0.000, 0.500)
Ta (0.500, 0.000, 0.000)
F (0.000, 0.000, 0.000)
K (0.500, 0.500, 0.500)

***

(9)
The following is a DFT calculation (meta-GGA SCAN) of a crystal of BaTa2Al relaxed with PBEsol.

- magnetization (μB/f.u.) = 0.00
- E (eV/atom) = -44.302
- crystal system = orthorhombic

a b c (Å): 2.859 5.483 6.434
angles (deg): 115.22 102.84 90.00
Element x y z (fractional)
Al (0.500, 0.000, 0.000)
Ta (0.783, 0.783, 0.567)
Ta (0.217, 0.217, 0.433)
Ba (0.000, 0.500, 0.000)

***

(10)
The following is a DFT calculation (meta-GGA SCAN) of a crystal of ScCoSi2 relaxed with PBEsol.

- formation energy without anion corrections (meV/atom) = -234
- magnetization (μB/f.u.) = 0.97
- E (eV/atom) = -13.128
- crystal system = tetragonal

a b c (Å): 3.705 3.705 4.743
angles (deg): 112.99 112.99 90.00
Each line ends with the local moment (μB).
Element x y z (fractional)
Co (0.500, 0.500, 0.000)  1.30
Sc (0.250, 0.750, 0.500)  -0.13
Si (0.000, 0.000, 0.000)  -0.08
Si (0.750, 0.250, 0.500)  -0.01

***

(11)
The following is a DFT calculation (meta-GGA SCAN) of a crystal of MgTcHg2 relaxed with PBEsol.

- magnetization (μB/f.u.) = 0.00
- E (eV/atom) = -43.873
- crystal system = tetragonal

a b c (Å): 3.608 4.423 4.423
angles (deg): 90.00 90.00 90.00
Element x y z (fractional)
Mg (0.500, 0.000, 0.000)
Hg (0.000, 0.000, 0.500)
Hg (0.000, 0.500, 0.000)
Tc (0.500, 0.500, 0.500)

***

(12)
The following is a DFT calculation (meta-GGA SCAN) of a crystal of Sb2PAu relaxed with PBEsol.

- formation energy without anion corrections (meV/atom) = -18
- magnetization (μB/f.u.) = 0.00
- E (eV/atom) = -38.537
- crystal system = monoclinic

a b c (Å): 3.849 4.155 6.188
angles (deg): 108.41 108.12 90.00
Element x y z (fractional)
Sb (0.008, 0.015, 0.017)
Sb (0.737, 0.691, 0.474)
Au (0.489, 0.496, 0.979)
P (0.265, 0.298, 0.530)

***

(13)
The following is a DFT calculation (meta-GGA SCAN) of a crystal of YAl2Co relaxed with PBEsol.

- magnetization (μB/f.u.) = 0.54
- E (eV/atom) = -15.476
- crystal system = tetragonal

a b c (Å): 3.096 3.096 6.949
angles (deg): 90.00 90.00 90.00
Each line ends with the local moment (μB).
Element x y z (fractional)
Al (0.000, 0.000, 0.047)  -0.02
Al (0.500, 0.500, 0.289)  -0.01
Co (0.000, 0.000, 0.444)  0.97
Y (0.500, 0.500, 0.720)  -0.23

***

(14)
The following is a DFT calculation (meta-GGA SCAN) of a crystal of KCu2P relaxed with PBEsol.

- magnetization (μB/f.u.) = 0.00
- E (eV/atom) = -12.502
- crystal system = tetragonal

a b c (Å): 5.115 5.115 7.931
angles (deg): 108.81 108.81 90.00
Element x y z (fractional)
Cu (0.125, 0.375, 0.750)
Cu (0.625, 0.375, 0.250)
Cu (0.625, 0.375, 0.750)
Cu (0.625, 0.875, 0.250)
P (0.500, 0.500, 0.000)
P (0.750, 0.250, 0.500)
K (0.250, 0.750, 0.500)
K (0.000, 0.000, 0.000)

***

(15)
The following is a DFT calculation (meta-GGA SCAN) of a crystal of MgZr2Zn relaxed with PBEsol.

- magnetization (μB/f.u.) = 0.04
- E (eV/atom) = -20.117
- energy above the most stable polymorph in this dataset (meV per atom) = 0
- crystal system = tetragonal

a b c (Å): 3.068 3.068 8.450
angles (deg): 90.00 90.00 90.00
Element x y z (fractional)
Zr (0.000, 0.000, 0.976)
Zr (0.500, 0.500, 0.247)
Zn (0.500, 0.500, 0.745)
Mg (0.000, 0.000, 0.531)

***

(16)
The following is a DFT calculation (meta-GGA SCAN) of a crystal of RbCoTc2H relaxed with PBEsol.

- magnetization (μB/f.u.) = 4.91
- E (eV/atom) = -20.649
- crystal system = tetragonal

a b c (Å): 4.335 4.335 6.719
angles (deg): 90.00 90.00 90.00
Each line ends with the local moment (μB).
Element x y z (fractional)
Rb (0.000, 0.000, 0.500)  0.00
Tc (0.500, 0.000, 0.000)  2.00
Tc (0.000, 0.500, 0.000)  2.00
Co (0.000, 0.000, 0.000)  0.14
H (0.500, 0.500, 0.500)  0.12

***

(17)
The following is a DFT calculation (meta-GGA SCAN) of a crystal of Cr3GaN relaxed with PBEsol.

- formation energy without anion corrections (meV/atom) = -264
- magnetization (μB/f.u.) = 0.00
- E (eV/atom) = -16.422
- crystal system = cubic

a b c (Å): 3.776 3.776 3.776
angles (deg): 90.00 90.00 90.00
Element x y z (fractional)
N (0.000, 0.000, 0.000)
Cr (0.500, 0.000, 0.000)
Cr (0.000, 0.000, 0.500)
Cr (0.000, 0.500, 0.000)
Ga (0.500, 0.500, 0.500)

***

(18)
The following is a DFT calculation (meta-GGA SCAN) of a crystal of TiCuBOs2 relaxed with PBEsol.

- magnetization (μB/f.u.) = 1.66
- E (eV/atom) = -34.421
- crystal system = tetragonal

a b c (Å): 3.978 4.509 4.509
angles (deg): 90.00 90.00 90.00
Each line ends with the local moment (μB).
Element x y z (fractional)
Cu (0.500, 0.500, 0.500)  0.13
Ti (0.000, 0.000, 0.000)  -0.05
Os (0.000, 0.000, 0.500)  0.72
Os (0.000, 0.500, 0.000)  0.72
B (0.500, 0.000, 0.000)  -0.01

***

(19)
The following is a DFT calculation (meta-GGA SCAN) of a crystal of BeZnTeI2 relaxed with PBEsol.

- formation energy without anion corrections (meV/atom) = 398
- magnetization (μB/f.u.) = 0.00
- E (eV/atom) = -25.322
- crystal system = tetragonal

a b c (Å): 5.106 5.108 5.108
angles (deg): 90.00 90.00 90.00
Element x y z (fractional)
I (0.000, 0.000, 0.500)
I (0.000, 0.500, 0.000)
Te (0.500, 0.000, 0.000)
Zn (0.500, 0.500, 0.500)
Be (0.000, 0.000, 0.000)

***

(20)
The following is a DFT calculation (meta-GGA SCAN) of a crystal of Li3NiSb4O12 relaxed with PBEsol.

- formation energy without anion corrections (meV/atom) = -1691
- magnetization (μB/f.u.) = 1.96
- E (eV/atom) = -14.049
- crystal system = triclinic

a b c (Å): 5.174 5.508 7.554
angles (deg): 94.72 90.03 90.12
Each line ends with the local moment (μB).
Element x y z (fractional)
Li (0.501, 0.060, 0.213)  0.00
Li (0.000, 0.566, 0.217)  0.00
Li (0.500, 0.054, 0.723)  0.00
Sb (0.499, 0.485, 0.501)  0.00
Sb (0.997, 0.999, 0.500)  -0.01
Sb (0.503, 0.488, 0.006)  0.00
Sb (0.000, 0.994, 0.009)  0.00
O (0.299, 0.786, 0.591)  0.05
O (0.362, 0.466, 0.255)  0.00
O (0.331, 0.157, 0.950)  0.00
O (0.699, 0.789, 0.090)  0.00
O (0.140, 0.962, 0.255)  0.00
O (0.864, 0.950, 0.758)  0.05
O (0.649, 0.460, 0.757)  0.04
O (0.837, 0.650, 0.457)  0.05
O (0.805, 0.292, 0.091)  0.00
O (0.171, 0.656, 0.945)  0.04
O (0.186, 0.302, 0.594)  0.04
O (0.656, 0.149, 0.452)  0.00
Ni (0.001, 0.595, 0.706)  1.65

***

(21)
The following is a DFT calculation (meta-GGA SCAN) of a crystal of Y2TaNiBi relaxed with PBEsol.

- magnetization (μB/f.u.) = 1.83
- E (eV/atom) = -42.957
- crystal system = tetragonal

a b c (Å): 4.751 5.053 5.053
angles (deg): 90.00 90.00 90.00
Each line ends with the local moment (μB).
Element x y z (fractional)
Y (0.000, 0.000, 0.500)  0.06
Y (0.000, 0.500, 0.000)  0.06
Ta (0.500, 0.500, 0.500)  1.09
Bi (0.500, 0.000, 0.000)  -0.01
Ni (0.000, 0.000, 0.000)  0.03

***

(22)
The following is a DFT calculation (meta-GGA SCAN) of a crystal of Ta2CSe relaxed with PBEsol.

- formation energy without anion corrections (meV/atom) = 120
- magnetization (μB/f.u.) = 0.00
- E (eV/atom) = -40.716
- crystal system = tetragonal

a b c (Å): 5.152 5.152 6.535
angles (deg): 113.22 113.22 90.00
Element x y z (fractional)
Ta (0.788, 0.375, 0.250)
Ta (0.625, 0.538, 0.750)
Ta (0.125, 0.212, 0.750)
Ta (0.462, 0.875, 0.250)
Se (0.000, 0.000, 0.000)
Se (0.250, 0.750, 0.500)
C (0.500, 0.500, 0.000)
C (0.750, 0.250, 0.500)

***

(23)
The following is a DFT calculation (meta-GGA SCAN) of a crystal of NiMoAs2 relaxed with PBEsol.

- magnetization (μB/f.u.) = 0.00
- E (eV/atom) = -22.676
- crystal system = tetragonal

a b c (Å): 3.592 3.592 5.136
angles (deg): 110.47 110.47 90.00
Element x y z (fractional)
As (0.750, 0.250, 0.500)
As (0.000, 0.000, 0.000)
Mo (0.500, 0.500, 0.000)
Ni (0.250, 0.750, 0.500)

***

(24)
The following is a DFT calculation (meta-GGA SCAN) of a crystal of RbMgHg3 relaxed with PBEsol.

- magnetization (μB/f.u.) = 0.00
- E (eV/atom) = -46.267
- crystal system = cubic

a b c (Å): 5.485 5.485 5.485
angles (deg): 90.00 90.00 90.00
Element x y z (fractional)
Hg (0.000, 0.000, 0.500)
Hg (0.000, 0.500, 0.000)
Hg (0.500, 0.000, 0.000)
Mg (0.000, 0.000, 0.000)
Rb (0.500, 0.500, 0.500)

***

(25)
The following is a DFT calculation (meta-GGA SCAN) of a crystal of ZrRe2Si relaxed with PBEsol.

- formation energy without anion corrections (meV/atom) = -11
- magnetization (μB/f.u.) = 0.00
- E (eV/atom) = -45.739
- crystal system = monoclinic

a b c (Å): 2.798 4.990 5.227
angles (deg): 117.54 103.93 93.23
Element x y z (fractional)
Zr (0.500, 0.000, 0.000)
Si (0.000, 0.500, 0.000)
Re (0.000, 0.000, 0.500)
Re (0.500, 0.500, 0.500)

***

(26)
The following is a DFT calculation (meta-GGA SCAN) of a crystal of ZnHO2 relaxed with PBEsol.

- magnetization (μB/f.u.) = 1.00
- E (eV/atom) = -7.760
- crystal system = tetragonal

a b c (Å): 4.158 4.158 4.771
angles (deg): 115.83 115.83 90.00
Each line ends with the local moment (μB).
Element x y z (fractional)
Zn (0.000, 0.000, 0.000)  0.06
Zn (0.250, 0.750, 0.500)  0.06
O (0.625, 0.556, 0.750)  0.44
O (0.125, 0.194, 0.750)  0.44
O (0.806, 0.375, 0.250)  0.44
O (0.444, 0.875, 0.250)  0.44
H (0.500, 0.500, 0.000)  -0.02
H (0.750, 0.250, 0.500)  -0.02